Crystalline PrWBrO4 at its relaxed geometry. Source: the Alexandria database, functional PBE+U.

The value obtained for the total energy is -100.02 eV per cell.

a b c (Å): 6.641 6.641 7.186
angles (deg): 103.64 103.64 69.76
Fractional positions:
Pr: 0.230 0.230 0.123
Pr: 0.770 0.770 0.877
W: 0.365 0.365 0.736
W: 0.635 0.635 0.264
Br: 0.013 0.013 0.755
Br: 0.987 0.987 0.245
O: 0.120 0.491 0.849
O: 0.299 0.299 0.476
O: 0.463 0.463 0.200
O: 0.491 0.120 0.849
O: 0.509 0.880 0.151
O: 0.537 0.537 0.800
O: 0.701 0.701 0.524
O: 0.880 0.509 0.151